Fe5I3Br12 after structural relaxation, computed with PBE.

```
80
Lattice="14.922 0.000 0.000 -4.974 14.069 0.000 -4.974 -7.034 12.184" Properties=species:S:1:pos:R:3 pbc="T T T"
I -3.731 2.638 10.661
Fe 6.218 -4.397 10.661
I 3.731 7.914 7.615
Br 1.679 -5.729 9.989
Fe 8.705 -0.879 7.615
Fe 0.000 0.000 0.000
Br 1.446 -1.757 10.771
Fe -2.487 7.034 0.000
Br -1.500 8.488 5.277
Br 3.295 2.269 3.864
Fe -1.244 0.879 7.615
Fe -2.487 -3.517 6.092
Br -1.041 9.137 0.815
Fe 4.974 7.034 0.000
Fe 6.218 3.517 9.138
I 8.705 9.672 1.523
Br 2.836 5.422 12.151
Fe 4.974 -3.517 6.092
Br 0.349 12.456 0.033
Fe -3.731 7.914 4.569
Br 2.139 9.774 4.679
I -1.244 6.155 7.615
Br 3.987 5.581 5.277
I 6.218 0.879 4.569
Br -3.474 12.331 1.380
I 3.731 0.000 9.138
Br 10.297 -2.682 7.472
Fe 2.487 3.517 6.092
Br -5.323 9.717 4.712
Br 0.987 1.453 6.907
Br 6.015 -2.102 11.369
Br 4.626 -5.422 12.151
Br 8.448 3.844 8.287
Fe -4.974 3.517 6.092
Br -0.808 1.305 2.195
Br 5.961 1.738 1.380
Fe 3.731 10.552 3.046
Br 3.528 4.932 0.815
Fe -1.244 3.517 3.046
Fe 1.244 -3.517 9.138
Br 6.015 1.757 10.771
Fe 7.461 0.000 0.000
Fe -1.244 11.431 1.523
Br -1.041 5.277 1.413
I -6.218 7.034 9.138
Br 5.782 5.729 9.989
Br 4.626 2.739 7.505
Br -3.474 3.191 3.897
Br -1.679 -0.963 6.125
Br 3.528 8.791 1.413
I -3.731 -2.638 10.661
Br 1.679 4.766 8.320
I 1.244 7.034 3.046
Br 8.907 -0.345 9.956
Br 6.474 -1.453 6.907
Br 8.448 -5.297 10.804
Br 6.654 7.998 6.059
Br 6.420 6.689 2.228
Br -0.808 11.800 3.864
I 1.244 -0.879 4.569
Br 3.295 12.764 2.195
Fe 1.244 4.397 10.661
Br 5.782 -4.766 8.320
Fe 6.218 6.155 4.569
Br -0.987 -3.844 8.287
Br 2.836 -2.739 7.505
Br -4.167 6.071 6.059
I 8.705 4.397 1.523
Br -2.836 2.682 7.472
Br -0.987 5.297 10.804
Br -3.933 7.380 2.228
I 11.192 0.000 3.046
Br 0.349 4.295 4.679
Br 7.810 4.352 4.712
Br 5.961 10.878 3.897
Br 9.141 0.963 6.125
Br 1.446 2.102 11.369
Br 2.139 1.613 0.033
Br -1.446 0.345 9.956
Fe 3.731 2.638 1.523
```

Summary:
Energy relative to the elements, uncorrected: -0.0952 eV/atom
Total magnetic moment: 0.949 μB/atom
DFT total energy: -68.94 eV/f.u.